Version P
Tc2AgRh2 | PBE-GGA | optimized geometry

```
data_Tc2AgRh2
_chemical_formula_sum 'Tc4 Ag2 Rh4'
_space_group_name_H-M_alt 'P 4/m b m'
_space_group_IT_number 127
_space_group_name_Hall '-P 4 2ab'
_cell_length_a 7.597
_cell_length_b 7.597
_cell_length_c 2.734
_cell_angle_alpha 90.00
_cell_angle_beta 90.00
_cell_angle_gamma 90.00
loop_
_atom_site_label
_atom_site_fract_x
_atom_site_fract_y
_atom_site_fract_z
Tc1 0.118 0.382 0.000
Ag1 0.000 0.000 0.000
Rh1 0.171 0.671 0.500
```

***

Version Q
Tc2AgRh2 | PBE-GGA | optimized geometry

```
data_Tc2AgRh2
_chemical_formula_sum 'Tc4 Ag2 Rh4'
_space_group_name_H-M_alt 'P 4/m b m'
_space_group_IT_number 127
_space_group_name_Hall '-P 4 2ab'
_cell_length_a 7.599
_cell_length_b 7.599
_cell_length_c 2.710
_cell_angle_alpha 90.00
_cell_angle_beta 90.00
_cell_angle_gamma 90.00
loop_
_atom_site_label
_atom_site_fract_x
_atom_site_fract_y
_atom_site_fract_z
Tc1 0.172 0.328 0.000
Ag1 0.000 0.000 0.500
Rh1 0.123 0.623 0.500
```

***

Stability, lowest: version Q

***

Version P
Tc2Ag2Rh | PBE-GGA | optimized geometry

```
data_Tc2Ag2Rh
_chemical_formula_sum 'Tc4 Ag4 Rh2'
_space_group_name_H-M_alt 'P 4/m b m'
_space_group_IT_number 127
_space_group_name_Hall '-P 4 2ab'
_cell_length_a 7.926
_cell_length_b 7.926
_cell_length_c 2.755
_cell_angle_alpha 90.00
_cell_angle_beta 90.00
_cell_angle_gamma 90.00
loop_
_atom_site_label
_atom_site_fract_x
_atom_site_fract_y
_atom_site_fract_z
Tc1 0.100 0.400 0.000
Ag1 0.192 0.692 0.500
Rh1 0.000 0.000 0.500
```

***

Version Q
Tc2Ag2Rh | PBE-GGA | optimized geometry

```
data_Tc2Ag2Rh
_chemical_formula_sum 'Tc4 Ag4 Rh2'
_space_group_name_H-M_alt 'I 4/m m m'
_space_group_IT_number 139
_space_group_name_Hall '-I 4 2'
_cell_length_a 3.455
_cell_length_b 3.455
_cell_length_c 14.629
_cell_angle_alpha 90.00
_cell_angle_beta 90.00
_cell_angle_gamma 90.00
loop_
_atom_site_label
_atom_site_fract_x
_atom_site_fract_y
_atom_site_fract_z
Tc1 0.000 0.500 0.250
Ag1 0.000 0.000 0.096
Rh1 0.000 0.000 0.500
```

***

Stability, lowest: version P

***

Version P
ThAgRh | PBE-GGA | optimized geometry

```
data_ThAgRh
_chemical_formula_sum 'Th2 Ag2 Rh2'
_space_group_name_H-M_alt 'I 4 m m'
_space_group_IT_number 107
_space_group_name_Hall 'I 4 -2'
_cell_length_a 3.727
_cell_length_b 3.727
_cell_length_c 9.547
_cell_angle_alpha 90.00
_cell_angle_beta 90.00
_cell_angle_gamma 90.00
loop_
_atom_site_label
_atom_site_fract_x
_atom_site_fract_y
_atom_site_fract_z
Th1 0.000 0.000 0.000
Ag1 0.000 0.000 0.688
Rh1 0.000 0.000 0.367
```

***

Version Q
ThAgRh | PBE-GGA | optimized geometry

```
data_ThAgRh
_chemical_formula_sum 'Th4 Ag4 Rh4'
_space_group_name_H-M_alt 'C 1 2/m 1'
_space_group_IT_number 12
_space_group_name_Hall '-C 2y'
_cell_length_a 10.083
_cell_length_b 3.930
_cell_length_c 7.652
_cell_angle_alpha 90.00
_cell_angle_beta 120.29
_cell_angle_gamma 90.00
loop_
_atom_site_label
_atom_site_fract_x
_atom_site_fract_y
_atom_site_fract_z
Th1 0.065 0.000 0.320
Ag1 0.165 0.500 0.051
Rh1 0.156 0.500 0.654
```

***

Stability, lowest: version P

***

Version P
Ti2AgRh2 | PBE-GGA | optimized geometry

```
data_Ti2AgRh2
_chemical_formula_sum 'Ti4 Ag2 Rh4'
_space_group_name_H-M_alt 'P 4/m b m'
_space_group_IT_number 127
_space_group_name_Hall '-P 4 2ab'
_cell_length_a 7.374
_cell_length_b 7.374
_cell_length_c 2.948
_cell_angle_alpha 90.00
_cell_angle_beta 90.00
_cell_angle_gamma 90.00
loop_
_atom_site_label
_atom_site_fract_x
_atom_site_fract_y
_atom_site_fract_z
Ti1 0.159 0.341 0.000
Ag1 0.000 0.000 0.500
Rh1 0.138 0.638 0.500
```

***

Version Q
Ti2AgRh2 | PBE-GGA | optimized geometry

```
data_Ti2AgRh2
_chemical_formula_sum 'Ti4 Ag2 Rh4'
_space_group_name_H-M_alt 'P 4/m b m'
_space_group_IT_number 127
_space_group_name_Hall '-P 4 2ab'
_cell_length_a 7.477
_cell_length_b 7.477
_cell_length_c 2.892
_cell_angle_alpha 90.00
_cell_angle_beta 90.00
_cell_angle_gamma 90.00
loop_
_atom_site_label
_atom_site_fract_x
_atom_site_fract_y
_atom_site_fract_z
Ti1 0.147 0.353 0.000
Ag1 0.000 0.000 0.000
Rh1 0.147 0.647 0.500
```

***

Stability, lowest: version Q

***

Version P
TiAgRh3 | PBE-GGA | optimized geometry

```
data_TiAgRh3
_chemical_formula_sum 'Ti1 Ag1 Rh3'
_space_group_name_H-M_alt 'P m -3 m'
_space_group_IT_number 221
_space_group_name_Hall '-P 4 2 3'
_cell_length_a 4.529
_cell_length_b 4.529
_cell_length_c 4.529
_cell_angle_alpha 90.00
_cell_angle_beta 90.00
_cell_angle_gamma 90.00
loop_
_atom_site_label
_atom_site_fract_x
_atom_site_fract_y
_atom_site_fract_z
Ti1 0.000 0.000 0.000
Ag1 0.500 0.500 0.500
Rh1 0.000 0.000 0.500
```

***

Version Q
TiAgRh3 | PBE-GGA | optimized geometry

```
data_TiAgRh3
_chemical_formula_sum 'Ti1 Ag1 Rh3'
_space_group_name_H-M_alt 'P m -3 m'
_space_group_IT_number 221
_space_group_name_Hall '-P 4 2 3'
_cell_length_a 4.722
_cell_length_b 4.722
_cell_length_c 4.722
_cell_angle_alpha 90.00
_cell_angle_beta 90.00
_cell_angle_gamma 90.00
loop_
_atom_site_label
_atom_site_fract_x
_atom_site_fract_y
_atom_site_fract_z
Ti1 0.000 0.000 0.000
Ag1 0.500 0.500 0.500
Rh1 0.000 0.500 0.500
```

***

Stability, lowest: version Q

***

Version P
TiAg3Rh | PBE-GGA | optimized geometry

```
data_TiAg3Rh
_chemical_formula_sum 'Ti1 Ag3 Rh1'
_space_group_name_H-M_alt 'P m -3 m'
_space_group_IT_number 221
_space_group_name_Hall '-P 4 2 3'
_cell_length_a 4.833
_cell_length_b 4.833
_cell_length_c 4.833
_cell_angle_alpha 90.00
_cell_angle_beta 90.00
_cell_angle_gamma 90.00
loop_
_atom_site_label
_atom_site_fract_x
_atom_site_fract_y
_atom_site_fract_z
Ti1 0.000 0.000 0.000
Ag1 0.000 0.000 0.500
Rh1 0.500 0.500 0.500
```

***

Version Q
TiAg3Rh | PBE-GGA | optimized geometry

```
data_TiAg3Rh
_chemical_formula_sum 'Ti1 Ag3 Rh1'
_space_group_name_H-M_alt 'P m -3 m'
_space_group_IT_number 221
_space_group_name_Hall '-P 4 2 3'
_cell_length_a 4.935
_cell_length_b 4.935
_cell_length_c 4.935
_cell_angle_alpha 90.00
_cell_angle_beta 90.00
_cell_angle_gamma 90.00
loop_
_atom_site_label
_atom_site_fract_x
_atom_site_fract_y
_atom_site_fract_z
Ti1 0.000 0.000 0.000
Ag1 0.000 0.500 0.500
Rh1 0.500 0.500 0.500
```

***

Stability, lowest: version P

***

Version P
TlAgRh | PBE-GGA | optimized geometry

```
data_TlAgRh
_chemical_formula_sum 'Tl4 Ag4 Rh4'
_space_group_name_H-M_alt 'F -4 3 m'
_space_group_IT_number 216
_space_group_name_Hall 'F -4 2 3'
_cell_length_a 6.367
_cell_length_b 6.367
_cell_length_c 6.367
_cell_angle_alpha 90.00
_cell_angle_beta 90.00
_cell_angle_gamma 90.00
loop_
_atom_site_label
_atom_site_fract_x
_atom_site_fract_y
_atom_site_fract_z
Tl1 0.000 0.000 0.000
Ag1 0.000 0.000 0.500
Rh1 0.250 0.250 0.750
```

***

Version Q
TlAgRh | PBE-GGA | optimized geometry

```
data_TlAgRh
_chemical_formula_sum 'Tl4 Ag4 Rh4'
_space_group_name_H-M_alt 'C m c m'
_space_group_IT_number 63
_space_group_name_Hall '-C 2c 2'
_cell_length_a 3.190
_cell_length_b 14.975
_cell_length_c 4.609
_cell_angle_alpha 90.00
_cell_angle_beta 90.00
_cell_angle_gamma 90.00
loop_
_atom_site_label
_atom_site_fract_x
_atom_site_fract_y
_atom_site_fract_z
Tl1 0.000 0.090 0.250
Ag1 0.000 0.232 0.750
Rh1 0.000 0.429 0.250
```

***

Stability, lowest: version P

***

Version P
TlAgRh | PBE-GGA | optimized geometry

```
data_TlAgRh
_chemical_formula_sum 'Tl2 Ag2 Rh2'
_space_group_name_H-M_alt 'I m m 2'
_space_group_IT_number 44
_space_group_name_Hall 'I 2 -2'
_cell_length_a 3.140
_cell_length_b 3.983
_cell_length_c 8.792
_cell_angle_alpha 90.00
_cell_angle_beta 90.00
_cell_angle_gamma 90.00
loop_
_atom_site_label
_atom_site_fract_x
_atom_site_fract_y
_atom_site_fract_z
Tl1 0.000 0.000 0.000
Ag1 0.000 0.000 0.323
Rh1 0.000 0.000 0.658
```

***

Version Q
TlAgRh | PBE-GGA | optimized geometry

```
data_TlAgRh
_chemical_formula_sum 'Tl1 Ag1 Rh1'
_space_group_name_H-M_alt 'P 3 m 1'
_space_group_IT_number 156
_space_group_name_Hall 'P 3 -2"'
_cell_length_a 4.5579
_cell_length_b 4.5579
_cell_length_c 3.0934
_cell_angle_alpha 90.00
_cell_angle_beta 90.00
_cell_angle_gamma 120.00
loop_
_atom_site_label
_atom_site_fract_x
_atom_site_fract_y
_atom_site_fract_z
Tl1 0.0000 0.0000 0.0000
Ag1 0.6667 0.3333 0.3208
Rh1 0.3333 0.6667 0.6954
```

***

Version R
TlAgRh | PBE-GGA | optimized geometry

```
data_TlAgRh
_chemical_formula_sum 'Tl2 Ag2 Rh2'
_space_group_name_H-M_alt 'I 4 m m'
_space_group_IT_number 107
_space_group_name_Hall 'I 4 -2'
_cell_length_a 3.258
_cell_length_b 3.258
_cell_length_c 10.533
_cell_angle_alpha 90.00
_cell_angle_beta 90.00
_cell_angle_gamma 90.00
loop_
_atom_site_label
_atom_site_fract_x
_atom_site_fract_y
_atom_site_fract_z
Tl1 0.000 0.000 0.000
Ag1 0.000 0.000 0.687
Rh1 0.000 0.000 0.348
```

***

Stability, lowest: version Q

***

Version P
TlAg2Rh | PBE-GGA | optimized geometry

```
data_TlAg2Rh
_chemical_formula_sum 'Tl1 Ag2 Rh1'
_space_group_name_H-M_alt 'P 4/m m m'
_space_group_IT_number 123
_space_group_name_Hall '-P 4 2'
_cell_length_a 2.994
_cell_length_b 2.994
_cell_length_c 8.616
_cell_angle_alpha 90.00
_cell_angle_beta 90.00
_cell_angle_gamma 90.00
loop_
_atom_site_label
_atom_site_fract_x
_atom_site_fract_y
_atom_site_fract_z
Tl1 0.000 0.000 0.000
Ag1 0.500 0.500 0.284
Rh1 0.000 0.000 0.500
```

***

Version Q
TlAg2Rh | PBE-GGA | optimized geometry

```
data_TlAg2Rh
_chemical_formula_sum 'Tl1 Ag2 Rh1'
_space_group_name_H-M_alt 'P 4 m m'
_space_group_IT_number 99
_space_group_name_Hall 'P 4 -2'
_cell_length_a 3.156
_cell_length_b 3.156
_cell_length_c 7.455
_cell_angle_alpha 90.00
_cell_angle_beta 90.00
_cell_angle_gamma 90.00
loop_
_atom_site_label
_atom_site_fract_x
_atom_site_fract_y
_atom_site_fract_z
Tl1 0.000 0.000 0.000
Ag1 0.000 0.000 0.535
Ag2 0.500 0.500 0.294
Rh1 0.500 0.500 0.768
```

***

Version R
TlAg2Rh | PBE-GGA | optimized geometry

```
data_TlAg2Rh
_chemical_formula_sum 'Tl1 Ag2 Rh1'
_space_group_name_H-M_alt 'P m m m'
_space_group_IT_number 47
_space_group_name_Hall '-P 2 2'
_cell_length_a 3.041
_cell_length_b 4.287
_cell_length_c 5.679
_cell_angle_alpha 90.00
_cell_angle_beta 90.00
_cell_angle_gamma 90.00
loop_
_atom_site_label
_atom_site_fract_x
_atom_site_fract_y
_atom_site_fract_z
Tl1 0.000 0.000 0.000
Ag1 0.500 0.500 0.264
Rh1 0.000 0.000 0.500
```

***

Version S
TlAg2Rh | PBE-GGA | optimized geometry

```
data_TlAg2Rh
_chemical_formula_sum 'Tl4 Ag8 Rh4'
_space_group_name_H-M_alt 'F m -3 m'
_space_group_IT_number 225
_space_group_name_Hall '-F 4 2 3'
_cell_length_a 6.629
_cell_length_b 6.629
_cell_length_c 6.629
_cell_angle_alpha 90.00
_cell_angle_beta 90.00
_cell_angle_gamma 90.00
loop_
_atom_site_label
_atom_site_fract_x
_atom_site_fract_y
_atom_site_fract_z
Tl1 0.000 0.000 0.000
Ag1 0.250 0.250 0.250
Rh1 0.000 0.000 0.500
```

***

Stability, lowest: version P

***

Version P
TlAgRh2 | PBE-GGA | optimized geometry

```
data_TlAgRh2
_chemical_formula_sum 'Tl4 Ag4 Rh8'
_space_group_name_H-M_alt 'F m -3 m'
_space_group_IT_number 225
_space_group_name_Hall '-F 4 2 3'
_cell_length_a 6.475
_cell_length_b 6.475
_cell_length_c 6.475
_cell_angle_alpha 90.00
_cell_angle_beta 90.00
_cell_angle_gamma 90.00
loop_
_atom_site_label
_atom_site_fract_x
_atom_site_fract_y
_atom_site_fract_z
Tl1 0.000 0.000 0.000
Ag1 0.000 0.000 0.500
Rh1 0.250 0.250 0.250
```

***

Version Q
TlAgRh2 | PBE-GGA | optimized geometry

```
data_TlAgRh2
_chemical_formula_sum 'Tl3 Ag3 Rh6'
_space_group_name_H-M_alt 'R 3 m'
_space_group_IT_number 160
_space_group_name_Hall 'R 3 -2"'
_cell_length_a 2.9718
_cell_length_b 2.9718
_cell_length_c 28.0585
_cell_angle_alpha 90.00
_cell_angle_beta 90.00
_cell_angle_gamma 120.00
loop_
_atom_site_label
_atom_site_fract_x
_atom_site_fract_y
_atom_site_fract_z
Tl1 0.0000 0.0000 0.0000
Ag1 0.0000 0.0000 0.2382
Rh1 0.0000 0.0000 0.4895
Rh2 0.0000 0.0000 0.7514
```

***

Stability, lowest: version Q

***

Version P
TlAgRh2 | PBE-GGA | optimized geometry

```
data_TlAgRh2
_chemical_formula_sum 'Tl1 Ag1 Rh2'
_space_group_name_H-M_alt 'P 4/m m m'
_space_group_IT_number 123
_space_group_name_Hall '-P 4 2'
_cell_length_a 4.539
_cell_length_b 4.539
_cell_length_c 3.297
_cell_angle_alpha 90.00
_cell_angle_beta 90.00
_cell_angle_gamma 90.00
loop_
_atom_site_label
_atom_site_fract_x
_atom_site_fract_y
_atom_site_fract_z
Tl1 0.000 0.000 0.000
Ag1 0.500 0.500 0.000
Rh1 0.000 0.500 0.500
```

***

Version Q
TlAgRh2 | PBE-GGA | optimized geometry

```
data_TlAgRh2
_chemical_formula_sum 'Tl1 Ag1 Rh2'
_space_group_name_H-M_alt 'P m m 2'
_space_group_IT_number 25
_space_group_name_Hall 'P 2 -2'
_cell_length_a 2.935
_cell_length_b 3.923
_cell_length_c 5.993
_cell_angle_alpha 90.00
_cell_angle_beta 90.00
_cell_angle_gamma 90.00
loop_
_atom_site_label
_atom_site_fract_x
_atom_site_fract_y
_atom_site_fract_z
Tl1 0.000 0.000 0.000
Ag1 0.500 0.500 0.280
Rh1 0.000 0.000 0.525
Rh2 0.500 0.500 0.742
```

***

Version R
TlAgRh2 | PBE-GGA | optimized geometry

```
data_TlAgRh2
_chemical_formula_sum 'Tl2 Ag2 Rh4'
_space_group_name_H-M_alt 'I -4 m 2'
_space_group_IT_number 119
_space_group_name_Hall 'I -4 -2'
_cell_length_a 4.136
_cell_length_b 4.136
_cell_length_c 7.956
_cell_angle_alpha 90.00
_cell_angle_beta 90.00
_cell_angle_gamma 90.00
loop_
_atom_site_label
_atom_site_fract_x
_atom_site_fract_y
_atom_site_fract_z
Tl1 0.000 0.000 0.000
Ag1 0.000 0.500 0.750
Rh1 0.000 0.000 0.500
Rh2 0.000 0.500 0.250
```

***

Stability, lowest: version Q

***

Version P
TlAgRh2 | PBE-GGA | optimized geometry

```
data_TlAgRh2
_chemical_formula_sum 'Tl2 Ag2 Rh4'
_space_group_name_H-M_alt 'C 1 m 1'
_space_group_IT_number 8
_space_group_name_Hall 'C -2y'
_cell_length_a 9.496
_cell_length_b 2.997
_cell_length_c 4.920
_cell_angle_alpha 90.00
_cell_angle_beta 101.55
_cell_angle_gamma 90.00
loop_
_atom_site_label
_atom_site_fract_x
_atom_site_fract_y
_atom_site_fract_z
Tl1 0.000 0.000 0.000
Ag1 0.238 0.000 0.726
Rh1 0.252 0.500 0.249
Rh2 0.485 0.000 0.485
```

***

Version Q
TlAgRh2 | PBE-GGA | optimized geometry

```
data_TlAgRh2
_chemical_formula_sum 'Tl4 Ag4 Rh8'
_space_group_name_H-M_alt 'I -4 2 d'
_space_group_IT_number 122
_space_group_name_Hall 'I -4 2bw'
_cell_length_a 3.961
_cell_length_b 3.961
_cell_length_c 19.329
_cell_angle_alpha 90.00
_cell_angle_beta 90.00
_cell_angle_gamma 90.00
loop_
_atom_site_label
_atom_site_fract_x
_atom_site_fract_y
_atom_site_fract_z
Tl1 0.000 0.000 0.000
Ag1 0.000 0.000 0.500
Rh1 0.217 0.250 0.625
```

***

Stability, lowest: version Q